# CoTe2Pt, relaxed, DFT PBE-GGA
data_CoTe2Pt
_cell_length_a 6.6674
_cell_length_b 6.6761
_cell_length_c 3.4086
_cell_angle_alpha 90.00
_cell_angle_beta 90.11
_cell_angle_gamma 90.00
_symmetry_space_group_name_H-M 'C 1 2/m 1'
_symmetry_Int_Tables_number 12
loop_
_symmetry_equiv_pos_as_xyz
'x,y,z'
'-x,-y,-z'
'-x,y,-z'
'x,-y,z'
'x+1/2,y+1/2,z'
'-x+1/2,-y+1/2,-z'
'-x+1/2,y+1/2,-z'
'x+1/2,-y+1/2,z'
loop_
_atom_site_label
_atom_site_type_symbol
_atom_site_fract_x
_atom_site_fract_y
_atom_site_fract_z
Co1 Co 0.0000 0.0000 0.0000
Te1 Te 0.2500 0.2500 0.5000
Pt1 Pt 0.0000 0.5000 0.0000
# raw formation energy	0.31	eV per atom
# ΔE to the lowest computed polymorph	1.66	eV/f.u.